Sb2PtBr: optimized geometry, PBE.

Summary:
Its space-group type is P4/mmm. Its electronic total energy is -16.63 eV for the cell shown.

Unit cell a=3.4245 b=3.4245 c=8.1402 alpha=90.00 beta=90.00 gamma=89.99
Atoms (fractional coordinates):
Sb1 0.0000 0.0000 0.9506
Sb2 0.0000 0.0000 0.5494
Br1 0.5000 0.5000 0.2500
Pt1 0.5000 0.5000 0.7500

Li2TcSnH8: optimized geometry, PBE.

Summary:
Its space-group type is P2/m. Its electronic total energy is -44.78 eV for the cell shown.

Unit cell a=3.2780 b=4.8340 c=6.1272 alpha=84.85 beta=89.99 gamma=89.98
Atoms (fractional coordinates):
Li1 0.5000 0.4640 0.7828
Li2 0.5000 0.5360 0.2172
Tc1 0.0000 0.0000 0.0000
Sn1 0.0000 0.0000 0.5000
H1 0.9999 0.7246 0.2056
H2 0.4999 0.8504 0.9295
H3 0.9999 0.2939 0.1455
H4 0.0001 0.2754 0.7944
H5 0.5001 0.1496 0.0705
H6 0.0001 0.7061 0.8545
H7 0.5001 0.7406 0.5197
H8 0.4999 0.2594 0.4803

KBaTaS4: optimized geometry, PBE.

Summary:
Its space-group type is P2_1/m. Its electronic total energy is -83.37 eV for the cell shown.

Unit cell a=7.3319 b=7.0113 c=9.0355 alpha=90.00 beta=106.24 gamma=90.00
Atoms (fractional coordinates):
K1 0.7198 0.7500 0.9338
K2 0.2802 0.2500 0.0662
Ba1 0.7695 0.7500 0.4472
Ba2 0.2305 0.2500 0.5528
Ta1 0.2149 0.7500 0.2995
Ta2 0.7851 0.2500 0.7005
S1 0.9856 0.5058 0.7458
S2 0.0144 0.0058 0.2542
S3 0.0144 0.4942 0.2542
S4 0.9856 0.9942 0.7458
S5 0.4157 0.7500 0.1466
S6 0.5843 0.2500 0.8534
S7 0.3825 0.7500 0.5543
S8 0.6175 0.2500 0.4457

MnNb2Os: optimized geometry, PBE.

Summary:
Its space-group type is I-42d. As for the energy relative to the elements: 0.70 eV/atom.

Unit cell a=3.8204 b=3.8204 c=9.8567 alpha=78.83 beta=78.83 gamma=90.00
Site moments in Bohr magnetons follow the coordinates.
Atoms (fractional coordinates):
Nb1 0.6244 0.1250 0.2500  -0.12
Nb2 0.1256 0.6250 0.2500  -0.12
Nb3 0.3750 0.3756 0.7500  -0.10
Nb4 0.8750 0.8744 0.7500  -0.12
Mn1 0.5000 0.5000 0.0000  3.03
Mn2 0.2500 0.7500 0.5000  3.03
Os1 0.0000 0.0000 0.0000  -0.03
Os2 0.7500 0.2500 0.5000  -0.03